The following is a DFT calculation (GGA-PBE) of an optimized crystal structure of PbAuI3.

The structure in extended XYZ format:
```
5
Lattice="5.6863 0.0000 0.0000 0.0000 5.6863 0.0000 0.0000 0.0000 5.6863" Properties=species:S:1:pos:R:3 pbc="T T T"
Pb 0.0000 0.0000 0.0000
Au 2.8431 2.8431 2.8431
I 0.0000 2.8431 2.8431
I 2.8431 0.0000 2.8431
I 2.8431 2.8431 0.0000
```

Summary:
Total moment: 0.4 μB per formula unit
Excess energy over the best structure of this formula in the dataset: 408.6 meV per atom
N(E_F): 3.409 states/eV/cell
Volume: 184 Å³/cell